The following is a PBE calculation of a relaxed structure of Ti5Al2Sn2, from the Alexandria database.

```
data_Ti5Al2Sn2
_symmetry_space_group_name_H-M 'P 1'
_symmetry_Int_Tables_number 1
_symmetry_space_group_name_Hall 'P 1'
_cell_length_a 6.999
_cell_length_b 7.099
_cell_length_c 7.656
_cell_angle_alpha 117.62
_cell_angle_beta 90.00
_cell_angle_gamma 90.00
loop_
_atom_site_label
_atom_site_type_symbol
_atom_site_fract_x
_atom_site_fract_y
_atom_site_fract_z
_atom_site_occupancy
Al1 Al 0.629 0.870 0.000 1
Al2 Al 0.371 0.130 0.000 1
Al3 Al 0.871 0.370 0.000 1
Al4 Al 0.129 0.630 0.000 1
Sn1 Sn 0.000 0.788 0.576 1
Sn2 Sn 0.000 0.212 0.424 1
Sn3 Sn 0.500 0.288 0.576 1
Sn4 Sn 0.500 0.712 0.424 1
Ti1 Ti 0.826 0.545 0.749 1
Ti2 Ti 0.174 0.455 0.251 1
Ti3 Ti 0.326 0.704 0.749 1
Ti4 Ti 0.674 0.045 0.749 1
Ti5 Ti 0.326 0.955 0.251 1
Ti6 Ti 0.174 0.204 0.749 1
Ti7 Ti 0.674 0.296 0.251 1
Ti8 Ti 0.826 0.796 0.251 1
Ti9 Ti 0.000 0.000 0.000 1
Ti10 Ti 0.500 0.500 0.000 1
```

Calculated values
The symmetry is Cmce, No. 64.

***

The following is a PBE calculation of a relaxed structure of Ti3Al2Sn, from the Alexandria database.

```
data_Ti3Al2Sn
_symmetry_space_group_name_H-M 'P 1'
_symmetry_Int_Tables_number 1
_symmetry_space_group_name_Hall 'P 1'
_cell_length_a 4.144
_cell_length_b 4.063
_cell_length_c 6.431
_cell_angle_alpha 108.42
_cell_angle_beta 90.00
_cell_angle_gamma 90.00
loop_
_atom_site_label
_atom_site_type_symbol
_atom_site_fract_x
_atom_site_fract_y
_atom_site_fract_z
_atom_site_occupancy
Ti1 Ti 0.500 0.830 0.660 1
Ti2 Ti 0.500 0.170 0.340 1
Ti3 Ti 0.500 0.500 0.000 1
Al1 Al 0.000 0.327 0.653 1
Al2 Al 0.000 0.673 0.347 1
Sn1 Sn 0.000 0.000 0.000 1
```

Calculated values
The symmetry is Cmmm, No. 65.

***

The following is a PBE calculation of a relaxed structure of Ti7Al2Sn2, from the Alexandria database.

```
data_Ti7Al2Sn2
_symmetry_space_group_name_H-M 'P 1'
_symmetry_Int_Tables_number 1
_symmetry_space_group_name_Hall 'P 1'
_cell_length_a 6.118
_cell_length_b 6.147
_cell_length_c 6.118
_cell_angle_alpha 89.99
_cell_angle_beta 103.40
_cell_angle_gamma 90.01
loop_
_atom_site_label
_atom_site_type_symbol
_atom_site_fract_x
_atom_site_fract_y
_atom_site_fract_z
_atom_site_occupancy
Ti1 Ti 0.500 0.744 0.500 1
Ti2 Ti 0.500 0.273 0.000 1
Ti3 Ti 0.000 0.000 0.000 1
Ti4 Ti 0.000 0.273 0.500 1
Ti5 Ti 0.500 0.727 0.000 1
Ti6 Ti 0.500 0.256 0.500 1
Ti7 Ti 0.000 0.727 0.500 1
Sn1 Sn 0.817 0.500 0.817 1
Sn2 Sn 0.183 0.500 0.183 1
Al1 Al 0.279 0.000 0.721 1
Al2 Al 0.721 0.000 0.279 1
```

Calculated values
The symmetry is Cmmm, No. 65.

***

The following is a PBE calculation of a relaxed structure of Ti8Al2Sn, from the Alexandria database.

```
data_Ti8Al2Sn
_symmetry_space_group_name_H-M 'P 1'
_symmetry_Int_Tables_number 1
_symmetry_space_group_name_Hall 'P 1'
_cell_length_a 4.813
_cell_length_b 7.287
_cell_length_c 7.314
_cell_angle_alpha 60.12
_cell_angle_beta 76.07
_cell_angle_gamma 61.11
loop_
_atom_site_label
_atom_site_type_symbol
_atom_site_fract_x
_atom_site_fract_y
_atom_site_fract_z
_atom_site_occupancy
Ti1 Ti 0.717 0.577 0.000 1
Ti2 Ti 0.283 0.423 0.000 1
Ti3 Ti 0.166 0.676 0.228 1
Ti4 Ti 0.834 0.324 0.772 1
Ti5 Ti 0.500 0.780 0.440 1
Ti6 Ti 0.834 0.097 0.228 1
Ti7 Ti 0.166 0.903 0.772 1
Ti8 Ti 0.500 0.220 0.560 1
Al1 Al 0.000 0.305 0.390 1
Al2 Al 0.000 0.695 0.610 1
Sn1 Sn 0.500 0.000 0.000 1
```

Calculated values
The symmetry is C2/m, No. 12.

***

The following is a PBE calculation of a relaxed structure of Ti2AlSn, from the Alexandria database.

```
data_Ti2AlSn
_symmetry_space_group_name_H-M 'P 1'
_symmetry_Int_Tables_number 1
_symmetry_space_group_name_Hall 'P 1'
_cell_length_a 3.979
_cell_length_b 3.979
_cell_length_c 5.316
_cell_angle_alpha 111.98
_cell_angle_beta 111.98
_cell_angle_gamma 90.00
loop_
_atom_site_label
_atom_site_type_symbol
_atom_site_fract_x
_atom_site_fract_y
_atom_site_fract_z
_atom_site_occupancy
Sn1 Sn 0.250 0.750 0.500 1
Ti1 Ti 0.500 0.500 0.000 1
Ti2 Ti 0.750 0.250 0.500 1
Al1 Al 0.000 0.000 0.000 1
```

Calculated values
The symmetry is I-4m2, No. 119.

***

The following is a PBE calculation of a relaxed structure of TiAlSn, from the Alexandria database.

```
data_TiAlSn
_symmetry_space_group_name_H-M 'P 1'
_symmetry_Int_Tables_number 1
_symmetry_space_group_name_Hall 'P 1'
_cell_length_a 2.986
_cell_length_b 2.986
_cell_length_c 7.723
_cell_angle_alpha 101.15
_cell_angle_beta 101.15
_cell_angle_gamma 90.00
loop_
_atom_site_label
_atom_site_type_symbol
_atom_site_fract_x
_atom_site_fract_y
_atom_site_fract_z
_atom_site_occupancy
Al1 Al 0.947 0.947 0.895 1
Sn1 Sn 0.133 0.133 0.265 1
Ti1 Ti 0.770 0.770 0.540 1
```

Calculated values
The symmetry is I4mm, No. 107.

***

The following is a PBE calculation of a relaxed structure of TiAlSn3, from the Alexandria database.

```
data_TiAlSn3
_symmetry_space_group_name_H-M 'P 1'
_symmetry_Int_Tables_number 1
_symmetry_space_group_name_Hall 'P 1'
_cell_length_a 5.286
_cell_length_b 5.286
_cell_length_c 5.286
_cell_angle_alpha 90.00
_cell_angle_beta 90.00
_cell_angle_gamma 90.00
loop_
_atom_site_label
_atom_site_type_symbol
_atom_site_fract_x
_atom_site_fract_y
_atom_site_fract_z
_atom_site_occupancy
Sn1 Sn 0.000 0.500 0.000 1
Sn2 Sn 0.500 0.000 0.000 1
Sn3 Sn 0.000 0.000 0.500 1
Ti1 Ti 0.000 0.000 0.000 1
Al1 Al 0.500 0.500 0.500 1
```

Calculated values
The relative energy among the computed polymorphs is 0.00 kcal/mol of atoms. The symmetry is Pm-3m, No. 221.

***

The following is a PBE calculation of a relaxed structure of Ti2AlSn2, from the Alexandria database.

```
data_Ti2AlSn2
_symmetry_space_group_name_H-M 'P 1'
_symmetry_Int_Tables_number 1
_symmetry_space_group_name_Hall 'P 1'
_cell_length_a 6.957
_cell_length_b 6.957
_cell_length_c 4.130
_cell_angle_alpha 90.00
_cell_angle_beta 90.00
_cell_angle_gamma 90.00
loop_
_atom_site_label
_atom_site_type_symbol
_atom_site_fract_x
_atom_site_fract_y
_atom_site_fract_z
_atom_site_occupancy
Sn1 Sn 0.340 0.160 0.500 1
Sn2 Sn 0.660 0.840 0.500 1
Sn3 Sn 0.160 0.660 0.500 1
Sn4 Sn 0.840 0.340 0.500 1
Ti1 Ti 0.648 0.148 0.000 1
Ti2 Ti 0.148 0.352 0.000 1
Ti3 Ti 0.852 0.648 0.000 1
Ti4 Ti 0.352 0.852 0.000 1
Al1 Al 0.500 0.500 0.000 1
Al2 Al 0.000 0.000 0.000 1
```

Calculated values
The relative energy among the computed polymorphs is 0.00 kcal/mol of atoms. The symmetry is P4/mbm, No. 127.

***

Number 1: DFT formation energy -2.42 eV/f.u., total energy -6.376 eV/atom, magnetization 0.0000 μB/atom. Number 2: DFT formation energy -2.19 eV/f.u., total energy -6.228 eV/atom, magnetization 0.0000 μB/atom. Number 3: DFT formation energy 2.74 eV/f.u., total energy -6.183 eV/atom, magnetization 0.0000 μB/atom. Number 4: DFT formation energy -1.09 eV/f.u., total energy -6.885 eV/atom, magnetization 0.0000 μB/atom. Number 5: DFT formation energy -1.38 eV/f.u., total energy -6.228 eV/atom, magnetization 0.0000 μB/atom. Number 6: DFT formation energy 0.75 eV/f.u., total energy -4.962 eV/atom, magnetization 0.0000 μB/atom. Number 7: DFT formation energy 1.68 eV/f.u., total energy -4.392 eV/atom, magnetization 0.0000 μB/atom. Number 8: DFT formation energy -0.88 eV/f.u., total energy -5.683 eV/atom, magnetization 0.0000 μB/atom.